First-principles (PBE-GGA) data for crystalline ZrCdAg3 at its relaxed geometry, as listed in the Alexandria database.

The structure in POSCAR format:
```
ZrCdAg3
1.0
5.0153 0.0000 0.0000
0.0000 5.0153 0.0000
0.0000 0.0000 5.0153
Zr Cd Ag
1 1 3
Cartesian
0.0000 0.0000 0.0000
2.5076 2.5076 2.5076
0.0000 2.5076 2.5076
2.5076 0.0000 2.5076
2.5076 2.5076 0.0000
```

Values from the calculation:
Crystal system ... cubic
Total moment ... 1.55 μB/cell
Total DFT energy (no corrections) ... -0.203 Ry per atom